Entry from Alexandria via LeMat-Bulk: an optimized crystal structure of PaCuSb2 (GGA-PBE).

The formation energy from raw total energies comes out at -0.3612 eV per atom. The space group is No. 139. The calculated volume is 90 Å³/f.u. The value obtained for the density of states at the Fermi level is 15.476 states/eV per cell.

```
PaCuSb2
1.0
4.4511 0.0000 0.0000
0.0000 4.4511 0.0000
0.0000 0.0000 18.1587
Pa Cu Sb
4 4 8
Direct
0.0000 0.0000 0.1251
0.0000 0.0000 0.8749
0.5000 0.5000 0.3749
0.5000 0.5000 0.6251
0.0000 0.5000 0.2500
0.0000 0.5000 0.7500
0.5000 0.0000 0.2500
0.5000 0.0000 0.7500
0.0000 0.0000 0.3335
0.0000 0.0000 0.6665
0.0000 0.5000 0.0000
0.0000 0.5000 0.5000
0.5000 0.0000 0.0000
0.5000 0.0000 0.5000
0.5000 0.5000 0.1665
0.5000 0.5000 0.8335
```